# 1
Computed, not measured: a geometry-optimized Ba2MnSe structure at the PBE level of DFT. Values from VASP.

Cell and atoms, written as Quantum ESPRESSO input:
```
&SYSTEM
  ibrav = 0, nat = 4, ntyp = 3
/
ATOMIC_SPECIES
Ba 137.33 Ba.upf
Mn 54.94 Mn.upf
Se 78.96 Se.upf
ATOMIC_POSITIONS crystal
Ba 0.243 0.243 0.243
Ba 0.757 0.757 0.757
Mn 0.000 0.000 0.000
Se 0.500 0.500 0.500
CELL_PARAMETERS angstrom
2.278 1.315 8.583
-2.278 1.315 8.583
0.000 -2.630 8.583
```

Calculated values
As for the formation energy (no corrections): -47.7 kJ per mole of atoms. For the raw total energy, the calculation gives -4.62 eV/atom. The space-group type is R-3m (166). Its density of states at the Fermi level is 1.36 states/eV/f.u. The value obtained for the total moment is 3.130 μB per cell.


# 2
Computed, not measured: a geometry-optimized BaMnSe3 structure at the PBE level of DFT. Values from VASP.

Cell and atoms, written as Quantum ESPRESSO input:
```
&SYSTEM
  ibrav = 0, nat = 5, ntyp = 3
/
ATOMIC_SPECIES
Ba 137.33 Ba.upf
Mn 54.94 Mn.upf
Se 78.96 Se.upf
ATOMIC_POSITIONS crystal
Ba 0.000 0.000 0.000
Mn 0.500 0.500 0.726
Se 0.000 0.000 0.485
Se 0.000 0.500 0.746
Se 0.500 0.000 0.746
CELL_PARAMETERS angstrom
5.335 0.000 0.000
0.000 5.335 0.000
0.000 0.000 6.764
```

Calculated values
As for the formation energy (no corrections): -32.9 kJ per mole of atoms. For the raw total energy, the calculation gives -4.65 eV/atom. The space-group type is P4mm (99). Its density of states at the Fermi level is 2.33 states/eV/f.u. The value obtained for the total moment is 6.553 μB per cell.


| no. | volume (Å³/cell) |
| --- | --- |
| 1 | 154.3 |
| 2 | 192.5 |